No. 1
This record from the Alexandria database describes an optimized crystal structure of Ba2Cd3Ag6. The functional is PBE. Values from VASP.

* energy: -0.08411 hartree per atom
* crystal system: hexagonal
* relative energy among the computed polymorphs: 0.0000 eV per atom

```
&SYSTEM
  ibrav = 0, nat = 11, ntyp = 3
/
ATOMIC_SPECIES
Ba 137.33 Ba.upf
Cd 112.41 Cd.upf
Ag 107.87 Ag.upf
ATOMIC_POSITIONS angstrom
Ba 0.000 4.798 0.000
Ba 4.155 2.399 0.000
Cd -2.525 4.373 2.403
Cd 1.631 2.824 2.403
Cd 5.049 0.000 2.403
Ag -1.055 1.828 2.403
Ag -3.336 5.779 0.000
Ag 0.819 1.418 0.000
Ag 2.111 0.000 2.403
Ag 3.100 5.369 2.403
Ag 6.673 0.000 0.000
CELL_PARAMETERS angstrom
8.311 0.000 0.000
-4.155 7.197 0.000
0.000 0.000 4.806
```

No. 2
This record from the Alexandria database describes an optimized crystal structure of Ba2CdAg10. The functional is PBE. Values from VASP.

* energy: -0.09481 hartree per atom
* crystal system: orthorhombic

```
&SYSTEM
  ibrav = 0, nat = 26, ntyp = 3
/
ATOMIC_SPECIES
Ba 137.33 Ba.upf
Cd 112.41 Cd.upf
Ag 107.87 Ag.upf
ATOMIC_POSITIONS angstrom
Ba 1.854 1.497 0.000
Ba 2.191 8.784 0.000
Ba 5.900 5.790 0.000
Ba 6.237 13.078 0.000
Cd 0.000 7.287 2.890
Cd 4.045 0.000 2.890
Ag 0.137 2.434 2.890
Ag 1.149 9.823 2.890
Ag 1.354 14.440 2.890
Ag 1.466 4.874 1.442
Ag 1.466 4.874 4.339
Ag 2.579 12.161 1.442
Ag 2.579 12.161 4.339
Ag 2.692 7.153 2.890
Ag 2.896 2.536 2.890
Ag 3.908 9.721 2.890
Ag 4.183 4.853 2.890
Ag 5.195 12.039 2.890
Ag 5.399 7.422 2.890
Ag 5.512 2.413 1.442
Ag 5.512 2.413 4.339
Ag 6.625 9.700 1.442
Ag 6.625 9.700 4.339
Ag 6.737 0.134 2.890
Ag 6.942 4.751 2.890
Ag 7.954 12.141 2.890
CELL_PARAMETERS angstrom
8.091 0.000 0.000
0.000 14.575 0.000
0.000 0.000 5.780
```

Which of these has the lowest energy?
Ba2CdAg10

Number 2 is which compound?
Ba2CdAg10

The highest energy belongs to which entry?
Ba2Cd3Ag6

The lowest energy belongs to which entry?
Ba2CdAg10